1.
First-principles (PBEsol) data for a relaxed SrLi2Zn crystal, as listed in Alexandria via LeMat-Bulk.

Summary:
Electronic total energy in eV for the cell shown: -7.4
Space-group type: C2/m (12)
Calculated volume in Å³ per cell: 99
Formation energy from the elements in eV/atom: -0.015
D(E_F) in states/eV per atom: 0.8013

a b c (Å): 4.3619 4.7042 5.8810
angles (deg): 109.63 90.00 117.62
Sites, in units of the cell vectors:
1 Sr 0.5000 0.0000 0.0000
2 Zn 0.0000 0.0000 0.5000
3 Li 0.7010 0.4020 0.6077
4 Li 0.2990 0.5980 0.3923

---

2.
First-principles (PBEsol) data for a relaxed SrLiZn2 crystal, as listed in Alexandria via LeMat-Bulk.

Summary:
Electronic total energy in eV for the cell shown: -7.3
E above lowest polymorph in kJ/mol of atoms: 8.29
Space-group type: P2/m (10)
Calculated volume in Å³ per cell: 87
Formation energy from the elements in eV/atom: -0.079
D(E_F) in states/eV per atom: 0.4842

a b c (Å): 3.5604 3.5604 6.8542
angles (deg): 90.07 90.00 90.00
Sites, in units of the cell vectors:
1 Sr 0.5000 0.5000 0.0000
2 Zn 0.0000 0.9996 0.6854
3 Zn 0.0000 0.0004 0.3146
4 Li 0.5000 0.5000 0.5000

---

- What is the electronic total energy in the first record?
  -7.4 eV for the cell shown